# 1
Tb2DyMg3Pd2Pt | PBE-GGA | optimized geometry

Summary:
**Final energy**: -41.911 eV per formula unit

Lattice parameters (Å, degrees): 4.102 7.398 7.398 120.02 90.00 90.00
Fractional positions:
Pt: 0.000 0.001 0.001
Mg: 0.500 0.244 0.000
Tb: 0.000 0.000 0.592
Dy: 0.000 0.407 0.407
Pd: 0.500 0.334 0.666
Mg: 0.500 0.756 0.756
Mg: 0.500 0.000 0.244
Tb: 0.000 0.592 0.000
Pd: 0.500 0.666 0.334

# 2
TbDy2Mg3Pd2Pt | PBE-GGA | optimized geometry

Summary:
**Final energy**: -41.898 eV per formula unit

Lattice parameters (Å, degrees): 4.099 7.388 7.388 119.97 90.00 90.00
Fractional positions:
Tb: 0.000 0.592 0.592
Pd: 0.500 0.667 0.333
Pt: 0.000 0.001 0.001
Mg: 0.500 0.244 0.244
Pd: 0.500 0.333 0.667
Mg: 0.500 0.756 0.000
Dy: 0.000 0.408 0.000
Mg: 0.500 0.000 0.756
Dy: 0.000 0.000 0.408

# 3
Dy2TmMg3Pd2Pt | PBE-GGA | optimized geometry

Summary:
**Final energy**: -41.785 eV per formula unit

Lattice parameters (Å, degrees): 4.092 7.354 7.354 119.99 90.00 90.00
Fractional positions:
Pd: 0.500 0.666 0.336
Pt: 0.000 0.997 0.997
Dy: 0.000 0.408 0.000
Tm: 0.000 0.594 0.594
Pd: 0.500 0.336 0.666
Dy: 0.000 0.000 0.408
Mg: 0.500 0.245 0.245
Mg: 0.500 0.999 0.755
Mg: 0.500 0.755 0.999

# 4
Dy3MgZn2PdPt2 | PBE-GGA | optimized geometry

Summary:
**Final energy**: -43.369 eV per formula unit

Lattice parameters (Å, degrees): 3.891 7.366 7.366 120.10 90.00 90.00
Fractional positions:
Zn: 0.000 0.007 0.754
Zn: 0.000 0.754 0.007
Pd: 0.500 0.994 0.994
Mg: 0.000 0.242 0.242
Dy: 0.500 0.416 0.988
Pt: 0.000 0.332 0.658
Pt: 0.000 0.658 0.332
Dy: 0.500 0.988 0.416
Dy: 0.500 0.609 0.609

# 5
Dy3Mg2ZnPdPt2 | PBE-GGA | optimized geometry

Summary:
**Final energy**: -43.542 eV per formula unit

Lattice parameters (Å, degrees): 3.948 7.410 7.410 119.91 90.00 90.00
Fractional positions:
Mg: 0.500 0.005 0.248
Pd: 0.000 0.993 0.993
Dy: 0.000 0.590 0.988
Pt: 0.500 0.327 0.666
Mg: 0.500 0.248 0.005
Pt: 0.500 0.666 0.327
Dy: 0.000 0.433 0.433
Zn: 0.500 0.751 0.751
Dy: 0.000 0.988 0.590

# 6
TbDy2MgPd4 | PBE-GGA | optimized geometry

Summary:
**Final energy**: -42.806 eV per formula unit

Lattice parameters (Å, degrees): 4.855 4.855 6.868 90.00 90.00 90.00
Fractional positions:
Pd: 0.500 0.000 0.256
Dy: 0.500 0.500 0.500
Tb: 0.500 0.500 0.000
Dy: 0.000 0.000 0.000
Mg: 0.000 0.000 0.500
Pd: 0.500 0.000 0.744
Pd: 0.000 0.500 0.256
Pd: 0.000 0.500 0.744

# 7
Dy2TmMgPd4 | PBE-GGA | optimized geometry

Summary:
**Final energy**: -42.840 eV per formula unit

Lattice parameters (Å, degrees): 4.836 4.836 6.832 90.00 90.00 90.00
Fractional positions:
Pd: 0.000 0.500 0.251
Pd: 0.500 0.000 0.251
Dy: 0.500 0.500 0.500
Dy: 0.000 0.000 0.000
Pd: 0.500 0.000 0.749
Pd: 0.000 0.500 0.749
Tm: 0.500 0.500 0.000
Mg: 0.000 0.000 0.500

# 8
DyYMg4Pd2 | PBE-GGA | optimized geometry

Summary:
**Final energy**: -26.089 eV per formula unit

Lattice parameters (Å, degrees): 7.325 7.795 7.795 37.63 90.00 90.00
Last column: magnetic moment on the atom in μB.
Fractional positions:
Dy: 0.500 0.120 0.120  0.09
Mg: 0.800 0.602 0.602  0.00
Pd: 0.500 0.698 0.698  0.01
Mg: 0.197 0.394 0.394  0.00
Y: 0.500 0.886 0.886  0.07
Pd: 0.500 0.304 0.304  0.01
Mg: 0.200 0.602 0.602  0.00
Mg: 0.803 0.394 0.394  0.00

# 9
Dy3Mg3ZnPd2 | PBE-GGA | optimized geometry

Summary:
**Final energy**: -34.975 eV per formula unit

Lattice parameters (Å, degrees): 7.511 7.511 4.052 90.00 90.00 120.00
Fractional positions:
Dy: 0.583 0.583 0.000
Dy: 0.000 0.417 0.000
Mg: 0.000 0.752 0.500
Pd: 0.333 0.667 0.500
Mg: 0.752 0.000 0.500
Pd: 0.667 0.333 0.500
Zn: 0.000 0.000 0.000
Mg: 0.248 0.248 0.500
Dy: 0.417 0.000 0.000

# 10
Dy2MgZnPd4 | PBE-GGA | optimized geometry

Summary:
**Final energy**: -38.899 eV per formula unit

Lattice parameters (Å, degrees): 4.726 4.726 6.700 90.00 90.00 90.00
Fractional positions:
Pd: 0.500 0.000 0.253
Dy: 0.000 0.000 0.500
Pd: 0.000 0.500 0.253
Zn: 0.500 0.500 0.500
Dy: 0.500 0.500 0.000
Pd: 0.500 0.000 0.747
Pd: 0.000 0.500 0.747
Mg: 0.000 0.000 0.000

# 11
Dy3MgZn2Pd3 | PBE-GGA | optimized geometry

Summary:
**Final energy**: -40.093 eV per formula unit

Lattice parameters (Å, degrees): 3.897 7.385 7.385 120.12 90.00 90.00
Fractional positions:
Dy: 0.500 0.414 0.987
Zn: 0.000 0.008 0.753
Dy: 0.500 0.987 0.414
Pd: 0.000 0.659 0.333
Zn: 0.000 0.753 0.008
Mg: 0.000 0.240 0.240
Pd: 0.500 0.993 0.993
Pd: 0.000 0.333 0.659
Dy: 0.500 0.612 0.612

# 12
Dy3Mg3Zn2Pd | PBE-GGA | optimized geometry

Summary:
**Final energy**: -29.714 eV per formula unit

Lattice parameters (Å, degrees): 7.503 7.503 4.150 90.00 90.00 120.00
Last column: magnetic moment on the atom in μB.
Fractional positions:
Zn: 0.333 0.667 0.500  0.02
Zn: 0.667 0.333 0.500  0.02
Pd: 0.000 0.000 0.000  0.01
Mg: 0.000 0.759 0.500  0.00
Mg: 0.241 0.241 0.500  0.00
Dy: 0.000 0.409 0.000  0.08
Dy: 0.591 0.591 0.000  0.06
Dy: 0.409 0.000 0.000  0.07
Mg: 0.759 0.000 0.500  0.00